An optimized crystal structure of AlFeAgF6. Source: Alexandria via LeMat-Bulk, functional GGA+U.

abc: 5.3211 5.3211 10.4656
angles: 90.00 90.00 120.00
Site moments in Bohr magnetons follow the coordinates.
Fractional coordinates of all 18 atoms:
Al1 0.6667 0.3333 0.2500  0.00
Al2 0.3333 0.6667 0.7500  0.00
Fe1 0.3333 0.6667 0.2500  3.87
Fe2 0.6667 0.3333 0.7500  3.87
Ag1 0.0000 0.0000 0.0000  0.01
Ag2 0.0000 0.0000 0.5000  0.01
F1 0.6432 0.6074 0.1520  0.02
F2 0.9642 0.3568 0.1520  0.02
F3 0.3568 0.9642 0.6520  0.02
F4 0.0358 0.6432 0.8480  0.02
F5 0.3926 0.3568 0.3480  0.02
F6 0.9642 0.6074 0.3480  0.02
F7 0.6074 0.9642 0.8480  0.02
F8 0.6432 0.0358 0.3480  0.02
F9 0.0358 0.3926 0.6520  0.02
F10 0.3926 0.0358 0.1520  0.02
F11 0.6074 0.6432 0.6520  0.02
F12 0.3568 0.3926 0.8480  0.02

Summary:
SG = P-31c, No. 163
Volume = 14.257 A^3/atom
Energy = -5.22 eV/atom
Magnetic moment = 4.09 μB per formula unit